# 1
A relaxed Tb12Ga3H5 crystal. Source: Alexandria, functional PBE-GGA.

Lattice parameters (Å, degrees): 13.2905 13.2905 13.2905 109.47 109.47 109.47
Last column: nearest neighbours and their distance in Å.
Positions (direct):
Tb1 0.8095 0.9038 0.2895  1 H 2.19
Tb2 0.5962 0.7105 0.6905  1 H 2.19
Tb3 0.4057 0.3857 0.5962  1 H 2.19
Tb4 0.2895 0.8857 0.9800  1 H 2.19
Tb5 0.3095 0.7895 0.4038  1 H 2.19
Tb6 0.0962 0.9057 0.3857  1 H 2.19
Tb7 0.4038 0.1143 0.5943  1 H 2.19
Tb8 0.0943 0.1905 0.4800  1 H 2.19
Tb9 0.7105 0.5962 0.1905  1 H 2.19
Tb10 0.9800 0.5943 0.1905  1 H 2.19
Tb11 0.7105 0.1143 0.0200  1 H 2.19
Tb12 0.1905 0.0962 0.7105  1 H 2.19
Tb13 0.3095 0.5200 0.4057  1 H 2.19
Tb14 0.9038 0.8095 0.7895  1 H 2.19
Tb15 0.4800 0.7895 0.8857  1 H 2.19
Tb16 0.0943 0.9038 0.1143  1 H 2.19
Tb17 0.1143 0.7105 0.5200  1 H 2.19
Tb18 0.2105 0.5200 0.6143  1 H 2.19
Tb19 0.2105 0.6905 0.0962  1 H 2.19
Tb20 0.8857 0.5962 0.9057  1 H 2.19
Tb21 0.4800 0.6905 0.0943  1 H 2.19
Tb22 0.6143 0.0200 0.2105  1 H 2.19
Tb23 0.5962 0.8857 0.4057  1 H 2.19
Tb24 0.8095 0.9057 0.0200  1 H 2.19
Tb25 0.5943 0.9800 0.6905  1 H 2.19
Tb26 0.5200 0.2105 0.1143  1 H 2.19
Tb27 0.6905 0.4800 0.5943  1 H 2.19
Tb28 0.9057 0.0962 0.8857  1 H 2.19
Tb29 0.5200 0.3095 0.9057  1 H 2.19
Tb30 0.2895 0.4038 0.8095  1 H 2.19
Tb31 0.6905 0.2105 0.5962  1 H 2.19
Tb32 0.8857 0.2895 0.4800  1 H 2.19
Tb33 0.0962 0.1905 0.2105  1 H 2.19
Tb34 0.4038 0.2895 0.3095  1 H 2.19
Tb35 0.1143 0.4038 0.0943  1 H 2.19
Tb36 0.5943 0.6143 0.4038  1 H 2.19
Tb37 0.3857 0.9800 0.7895  1 H 2.19
Tb38 0.9800 0.3857 0.2895  1 H 2.19
Tb39 0.7895 0.4800 0.3857  1 H 2.19
Tb40 0.1905 0.0943 0.9800  1 H 2.19
Tb41 0.7895 0.3095 0.9038  1 H 2.19
Tb42 0.0200 0.6143 0.7105  1 H 2.19
Tb43 0.9057 0.8095 0.5200  1 H 2.19
Tb44 0.3857 0.4057 0.0962  1 H 2.19
Tb45 0.0200 0.4057 0.8095  1 H 2.19
Tb46 0.6143 0.5943 0.9038  1 H 2.19
Tb47 0.4057 0.0200 0.3095  1 H 2.19
Tb48 0.9038 0.0943 0.6143  1 H 2.19
H1 0.6250 0.8750 0.2500  4 Tb 2.19
H2 0.2500 0.8750 0.1250  4 Tb 2.19
H3 0.5000 0.5000 0.5000  6 Tb 2.57
H4 0.0000 0.5000 0.0000  6 Tb 2.57
H5 0.7500 0.1250 0.8750  4 Tb 2.19
H6 0.6250 0.7500 0.8750  4 Tb 2.19
H7 0.3750 0.2500 0.1250  4 Tb 2.19
H8 0.1250 0.3750 0.2500  4 Tb 2.19
H9 0.8750 0.2500 0.6250  4 Tb 2.19
H10 0.0000 0.0000 0.0000  6 Tb 2.57
H11 0.3750 0.1250 0.7500  4 Tb 2.19
H12 0.5000 0.0000 0.5000  6 Tb 2.57
H13 0.5000 0.5000 0.0000  6 Tb 2.57
H14 0.0000 0.5000 0.5000  6 Tb 2.57
H15 0.8750 0.6250 0.7500  4 Tb 2.19
H16 0.2500 0.3750 0.6250  4 Tb 2.19
H17 0.0000 0.0000 0.5000  6 Tb 2.57
H18 0.1250 0.7500 0.3750  4 Tb 2.19
H19 0.5000 0.0000 0.0000  6 Tb 2.57
H20 0.7500 0.6250 0.3750  4 Tb 2.19
Ga1 0.7500 0.3750 0.1250  8 Tb 3.03-3.05
Ga2 0.6250 0.3750 0.7500  8 Tb 3.03-3.05
Ga3 0.1250 0.8750 0.7500  8 Tb 3.03-3.05
Ga4 0.8750 0.1250 0.2500  8 Tb 3.03-3.05
Ga5 0.3750 0.6250 0.2500  8 Tb 3.03-3.05
Ga6 0.2500 0.6250 0.8750  8 Tb 3.03-3.05
Ga7 0.3750 0.7500 0.6250  8 Tb 3.03-3.05
Ga8 0.8750 0.7500 0.1250  8 Tb 3.03-3.05
Ga9 0.7500 0.8750 0.6250  8 Tb 3.03-3.05
Ga10 0.2500 0.1250 0.3750  8 Tb 3.03-3.05
Ga11 0.1250 0.2500 0.8750  8 Tb 3.03-3.05
Ga12 0.6250 0.2500 0.3750  8 Tb 3.03-3.05

Calculated values
- V (Å³/atom) = 22.59
- E (eV per atom) = -4.384

# 2
A relaxed Sr2Ca2Hg crystal. Source: Alexandria, functional PBE-GGA.

Lattice parameters (Å, degrees): 8.4427 8.4427 6.3552 90.00 90.00 90.00
Last column: nearest neighbours and their distance in Å.
Positions (direct):
Ca1 0.6629 0.8371 0.5000  6 Sr 3.84-4.17, 1 Ca 3.89
Ca2 0.1629 0.6629 0.5000  6 Sr 3.84-4.17, 1 Ca 3.89
Ca3 0.8371 0.3371 0.5000  6 Sr 3.84-4.17, 1 Ca 3.89
Ca4 0.3371 0.1629 0.5000  6 Sr 3.84-4.17, 1 Ca 3.89
Sr1 0.6572 0.1572 0.0000  2 Hg 3.18
Sr2 0.1572 0.3428 0.0000  2 Hg 3.18
Sr3 0.3428 0.8428 0.0000  2 Hg 3.18
Sr4 0.8428 0.6572 0.0000  2 Hg 3.18
Hg1 0.5000 0.5000 0.0000  4 Sr 3.18
Hg2 0.0000 0.0000 0.0000  4 Sr 3.18

Calculated values
- ΔE to the lowest computed polymorph (meV/atom) = 215
- V (Å³/atom) = 45.30
- energy of formation (eV per atom) = 0.003

# 3
A relaxed MnAlRe2 crystal. Source: Alexandria, functional PBE-GGA.

Lattice parameters (Å, degrees): 8.7849 8.7849 8.7849 18.11 18.11 18.11
Last column: nearest neighbours and their distance in Å.
Positions (direct):
Re1 0.0010 0.0010 0.0010  3 Mn 2.68, 9 Re 2.69-2.77
Re2 0.2510 0.2510 0.2510  9 Re 2.69-2.77, 3 Al 2.76
Mn1 0.7508 0.7508 0.7508  3 Al 2.61, 3 Re 2.68, 6 Mn 2.77
Al1 0.4972 0.4972 0.4972  3 Mn 2.61, 3 Re 2.76, 6 Al 2.77

Calculated values
- V (Å³/atom) = 14.30
- energy of formation (eV per atom) = 0.021

# 4
A relaxed NdYPt2 crystal. Source: Alexandria, functional PBE-GGA.

Lattice parameters (Å, degrees): 4.0996 4.0996 7.3676 73.85 73.85 60.00
Last column: nearest neighbours and their distance in Å.
Positions (direct):
Pt1 0.0879 0.0879 0.7362  3 Y 2.85, 3 Nd 2.96
Pt2 0.2450 0.2450 0.2650  3 Y 2.91, 3 Nd 3.04
Nd1 0.6698 0.6698 0.9906  6 Pt 2.96-3.04
Y1 0.4973 0.4973 0.5082  6 Pt 2.85-2.91

Calculated values
- ΔE to the lowest computed polymorph (meV/atom) = 156
- V (Å³/atom) = 25.39
- energy of formation (eV per atom) = -1.040

# 5
A relaxed Tm2Ni7Ge crystal. Source: Alexandria, functional PBE-GGA.

Lattice parameters (Å, degrees): 3.7245 3.7245 10.5787 90.00 90.00 90.00
Last column: nearest neighbours and their distance in Å.
Positions (direct):
Tm1 0.0000 0.5000 0.2685  12 Ni 2.80-3.08
Tm2 0.5000 0.0000 0.7315  12 Ni 2.80-3.08
Ni1 0.0000 0.0000 0.0000  4 Ni 2.39, 4 Ge 2.63
Ni2 0.5000 0.0000 0.1418  3 Ni 2.29-2.39, 2 Ge 2.39
Ni3 0.0000 0.5000 0.8582  3 Ni 2.29-2.39, 2 Ge 2.39
Ni4 0.5000 0.5000 0.5000  8 Ni 2.39-2.63
Ni5 0.0000 0.0000 0.5000  8 Ni 2.39-2.63
Ni6 0.5000 0.0000 0.3580  5 Ni 2.29-2.39
Ni7 0.0000 0.5000 0.6420  5 Ni 2.29-2.39
Ge1 0.5000 0.5000 0.0000  8 Ni 2.39-2.63

Calculated values
- V (Å³/atom) = 14.67
- energy of formation (eV per atom) = -0.318

# 6
A relaxed Bi3TeC crystal. Source: Alexandria, functional PBE-GGA.

Lattice parameters (Å, degrees): 5.8925 5.8925 5.8925 90.00 90.00 90.00
Last column: nearest neighbours and their distance in Å.
Positions (direct):
Bi1 0.5000 0.0000 0.0000  2 Te 2.95
Bi2 0.0000 0.0000 0.5000  2 Te 2.95
Bi3 0.0000 0.5000 0.0000  2 Te 2.95
Te1 0.0000 0.0000 0.0000  6 Bi 2.95
C1 0.5000 0.5000 0.5000  12 Bi 4.17

Calculated values
- ΔE to the lowest computed polymorph (meV/atom) = 1194
- V (Å³/atom) = 40.92
- formation energy from raw total energies (meV/atom) = 2082

- The highest V belongs to which entry?
  Sr2Ca2Hg